1.
First-principles (PBE) data for NaSmSnBr6 after structural relaxation, as listed in Alexandria via LeMat-Bulk.

Output
Uncorrected energy (eV per atom): -3.646
Total moment (μB/cell): 0.0
Crystal system: trigonal
Fermi-level density of states (states/eV/f.u.): 0.00

Lattice parameters (Å, degrees): 7.4061 7.4061 13.1390 90.00 90.00 120.00
Closest atoms and distances in Å follow each position.
Space group P-31c (No. 163)
Unique sites:
Na  0.3333  0.6667  0.2500 [2 per cell]  6 Br 2.99
Sm  0.3333  0.6667  0.7500 [2 per cell]  6 Br 2.88
Sn  0.0000  0.0000  0.0000 [2 per cell]  6 Br 3.03
Br  0.0119  0.3480  0.6258 [12 per cell]  1 Sm 2.88, 1 Na 2.99, 1 Sn 3.03

=====

2.
First-principles (PBE) data for NaSmSn2Br8 after structural relaxation, as listed in Alexandria via LeMat-Bulk.

Output
Uncorrected energy (eV per atom): -3.536
Total moment (μB/cell): 0.0
Crystal system: monoclinic
Fermi-level density of states (states/eV/f.u.): 0.00

Lattice parameters (Å, degrees): 6.8148 8.8073 7.1892 90.00 91.18 90.00
Closest atoms and distances in Å follow each position.
Space group P2/m (No. 10)
Unique sites:
Na  0.0000  0.0000  0.0000 [1 per cell]  6 Br 2.99-3.12
Sm  0.0000  0.5000  0.0000 [1 per cell]  6 Br 2.88
Sn  0.5000  0.2431  0.5000 [2 per cell]  6 Br 2.89-3.15
Br  0.2356  0.2581  0.1560 [4 per cell]  1 Sm 2.88, 1 Na 2.99, 1 Sn 3.03
Br  0.2404  0.5000  0.6748 [2 per cell]  1 Sm 2.88, 2 Sn 3.15
Br  0.2702  0.0000  0.6546 [2 per cell]  2 Sn 2.89, 1 Na 3.12

=====

3.
First-principles (PBE) data for NaSrSmBr6 after structural relaxation, as listed in Alexandria via LeMat-Bulk.

Output
Uncorrected energy (eV per atom): -3.852
Total moment (μB/cell): 0.0
Crystal system: trigonal
Fermi-level density of states (states/eV/f.u.): 0.00

Lattice parameters (Å, degrees): 7.6106 7.6106 13.1955 90.00 90.00 120.00
Closest atoms and distances in Å follow each position.
Space group P-31c (No. 163)
Unique sites:
Na  0.0000  0.0000  0.0000 [2 per cell]  6 Br 3.12
Sr  0.3333  0.6667  0.2500 [2 per cell]  6 Br 3.07
Sm  0.3333  0.6667  0.7500 [2 per cell]  6 Br 2.88
Br  0.0198  0.3561  0.6268 [12 per cell]  1 Sm 2.88, 1 Sr 3.07, 1 Na 3.12

=====

4.
First-principles (PBE) data for NaSmTl2Br6 after structural relaxation, as listed in Alexandria via LeMat-Bulk.

Output
Uncorrected energy (eV per atom): -3.497
Total moment (μB/cell): 0.0
Crystal system: triclinic
Fermi-level density of states (states/eV/f.u.): 0.00

Lattice parameters (Å, degrees): 7.9893 7.9995 8.1150 60.52 60.52 60.05
Closest atoms and distances in Å follow each position.
Space group P1 (No. 1)
Unique sites:
Na  0.0000  0.0000  0.0000 [1 per cell]  6 Br 2.97-3.06
Sm  0.5041  0.5041  0.4872 [1 per cell]  6 Br 2.86-2.89
Tl  0.2146  0.2136  0.3570 [1 per cell]  6 Br 3.37-3.41
Tl  0.7186  0.7188  0.8430 [1 per cell]  6 Br 3.41-3.42
Br  0.1738  0.7604  0.7177 [1 per cell]  1 Sm 2.86, 1 Na 3.06
Br  0.2804  0.6531  0.2234 [1 per cell]  1 Sm 2.89, 1 Na 2.97
Br  0.3481  0.1737  0.7179 [1 per cell]  1 Sm 2.86, 1 Na 3.06
Br  0.6538  0.8417  0.2229 [1 per cell]  1 Sm 2.89, 1 Na 2.97
Br  0.7608  0.3477  0.7175 [1 per cell]  1 Sm 2.86, 1 Na 3.06
Br  0.8420  0.2818  0.2223 [1 per cell]  1 Sm 2.89, 1 Na 2.97

=====

5.
First-principles (PBE) data for NaSmTlBr5 after structural relaxation, as listed in Alexandria via LeMat-Bulk.

Output
Uncorrected energy (eV per atom): -3.618
Total moment (μB/cell): 0.0
Crystal system: monoclinic
Fermi-level density of states (states/eV/f.u.): 0.00

Lattice parameters (Å, degrees): 9.0328 14.0759 10.6457 90.00 109.71 90.00
Closest atoms and distances in Å follow each position.
Space group C2/c (No. 15)
Unique sites:
Na  0.0000  0.1930  0.2500 [4 per cell]  4 Br 2.82-2.87
Sm  0.0000  0.5000  0.0000 [4 per cell]  6 Br 2.85-2.91
Tl  0.0000  0.1148  0.7500 [4 per cell]  4 Br 3.29-3.35
Br  0.0000  0.4173  0.7500 [4 per cell]  2 Sm 2.91
Br  0.1289  0.3223  0.1128 [8 per cell]  1 Na 2.82, 1 Sm 2.85
Br  0.1820  0.0632  0.4513 [8 per cell]  1 Na 2.87, 1 Sm 2.88

=====

6.
First-principles (PBE) data for NaSnBr2 after structural relaxation, as listed in Alexandria via LeMat-Bulk.

Output
Uncorrected energy (eV per atom): -2.822
Total moment (μB/cell): 0.0
Crystal system: tetragonal
Fermi-level density of states (states/eV/f.u.): 1.50

Lattice parameters (Å, degrees): 5.9251 5.9251 17.1471 90.00 90.00 90.00
Closest atoms and distances in Å follow each position.
Space group I-42d (No. 122)
Unique sites:
Na  0.0000  0.0000  0.0000 [4 per cell]  4 Br 2.97
Sn  0.0000  0.0000  0.5000 [4 per cell]  4 Br 3.02
Br  0.2409  0.2500  0.1250 [8 per cell]  2 Na 2.97, 2 Sn 3.02

=====

7.
First-principles (PBE) data for NaSnBr3 after structural relaxation, as listed in Alexandria via LeMat-Bulk.

Output
Uncorrected energy (eV per atom): -3.097
Total moment (μB/cell): 0.0
Crystal system: triclinic
Fermi-level density of states (states/eV/f.u.): 0.00

Lattice parameters (Å, degrees): 4.0865 7.5550 7.5600 119.95 90.02 90.11
Closest atoms and distances in Å follow each position.
Space group P1 (No. 1)
Unique sites:
Na  0.0000  0.0000  0.0000 [1 per cell]  6 Br 3.04-3.13
Sn  0.1099  0.6672  0.3342 [1 per cell]  3 Br 2.79
Br  0.4844  0.3317  0.2683 [1 per cell]  1 Sn 2.79, 1 Na 3.04
Br  0.4843  0.7328  0.0640 [1 per cell]  1 Sn 2.79, 2 Na 3.04-3.12
Br  0.4854  0.9378  0.6697 [1 per cell]  1 Sn 2.79, 2 Na 3.04-3.11

=====

8.
First-principles (PBE) data for NaSnBr5 after structural relaxation, as listed in Alexandria via LeMat-Bulk.

Output
Uncorrected energy (eV per atom): -2.798
Total moment (μB/cell): 0.0
Crystal system: monoclinic
Fermi-level density of states (states/eV/f.u.): 0.00

Lattice parameters (Å, degrees): 11.8603 12.9719 9.8602 90.00 124.87 90.00
Closest atoms and distances in Å follow each position.
Space group C2/c (No. 15)
Unique sites:
Na  0.0000  0.0000  0.0000 [4 per cell]  2 Br 2.76
Sn  0.0000  0.3632  0.2500 [4 per cell]  4 Br 2.50-2.51
Br  0.0000  0.0953  0.7500 [4 per cell]  2 Na 2.76
Br  0.0552  0.2552  0.0851 [8 per cell]  1 Sn 2.50
Br  0.2021  0.4731  0.4545 [8 per cell]  1 Sn 2.51

=====

9.
First-principles (PBE) data for Na2SnBr4 after structural relaxation, as listed in Alexandria via LeMat-Bulk.

Output
Uncorrected energy (eV per atom): -2.969
Total moment (μB/cell): 0.0
Crystal system: tetragonal

Lattice parameters (Å, degrees): 5.8361 5.8361 15.4856 90.00 90.00 90.00
Closest atoms and distances in Å follow each position.
Space group I4/mmm (No. 139)
Unique sites:
Na  0.0000  0.0000  0.1345 [4 per cell]  1 Br 2.76
Sn  0.0000  0.0000  0.5000 [2 per cell]  6 Br 2.90-2.92
Br  0.0000  0.0000  0.3125 [4 per cell]  1 Na 2.76, 1 Sn 2.90
Br  0.0000  0.5000  0.0000 [4 per cell]  2 Sn 2.92

=====

10.
First-principles (PBE) data for NaSnBr3 after structural relaxation, as listed in Alexandria via LeMat-Bulk.

Output
Uncorrected energy (eV per atom): -3.133
Total moment (μB/cell): 0.0
Crystal system: orthorhombic
Fermi-level density of states (states/eV/f.u.): 0.00

Lattice parameters (Å, degrees): 4.3409 21.4980 7.5659 90.00 90.00 90.00
Closest atoms and distances in Å follow each position.
Space group Cmc2_1 (No. 36)
Unique sites:
Na  0.0000  0.1579  0.0000 [4 per cell]  6 Br 2.93-3.24
Sn  0.0000  0.3451  0.0080 [4 per cell]  3 Br 2.75-2.92
Br  0.0000  0.0852  0.3422 [4 per cell]  2 Sn 2.92, 1 Na 3.02
Br  0.0000  0.2500  0.6616 [4 per cell]  3 Na 3.18-3.24, 3 Sn 3.20-3.32
Br  0.0000  0.4092  0.3227 [4 per cell]  1 Sn 2.75, 2 Na 2.93

=====

11.
First-principles (PBE) data for NaSn3Br after structural relaxation, as listed in Alexandria via LeMat-Bulk.

Output
Uncorrected energy (eV per atom): -2.615
Total moment (μB/cell): 0.0
Crystal system: cubic
Fermi-level density of states (states/eV/f.u.): 1.40

Lattice parameters (Å, degrees): 5.6799 5.6799 5.6799 90.00 90.00 90.00
Closest atoms and distances in Å follow each position.
Space group Pm-3m (No. 221)
Unique sites:
Na  0.0000  0.0000  0.0000 [1 per cell]  12 Sn 4.02
Sn  0.0000  0.5000  0.5000 [3 per cell]  2 Br 2.84
Br  0.5000  0.5000  0.5000 [1 per cell]  6 Sn 2.84

=====

12.
First-principles (PBE) data for Na2SnBr4 after structural relaxation, as listed in Alexandria via LeMat-Bulk.

Output
Uncorrected energy (eV per atom): -3.098
Total moment (μB/cell): 0.0
Crystal system: monoclinic
Fermi-level density of states (states/eV/f.u.): 0.00

Lattice parameters (Å, degrees): 15.3404 4.3985 7.5434 90.00 115.65 90.00
Closest atoms and distances in Å follow each position.
Space group C2/m (No. 12)
Unique sites:
Na  0.2161  0.0000  0.1907 [4 per cell]  4 Br 2.89-3.00
Sn  0.0000  0.5000  0.5000 [2 per cell]  6 Br 2.96-3.06
Br  0.1216  0.5000  0.9294 [4 per cell]  3 Na 2.89-3.00, 1 Sn 2.96
Br  0.1370  0.0000  0.4911 [4 per cell]  3 Na 3.00-3.32, 2 Sn 3.06